1.
Crystalline PmMgNi at its relaxed geometry. Source: Alexandria via LeMat-Bulk, functional PBE.

Geometry as CIF:
```
data_PmMgNi
_symmetry_space_group_name_H-M 'P n m a'
_symmetry_Int_Tables_number 62
_cell_length_a 7.853
_cell_length_b 4.835
_cell_length_c 6.796
_cell_angle_alpha 90.00
_cell_angle_beta 90.00
_cell_angle_gamma 90.00
loop_
_symmetry_equiv_pos_as_xyz
'x,y,z'
'-x,-y,-z'
'-x+1/2,-y,z+1/2'
'x+1/2,y,-z+1/2'
'x+1/2,-y+1/2,-z+1/2'
'-x+1/2,y+1/2,z+1/2'
'-x,y+1/2,-z'
'x,-y+1/2,z'
loop_
_atom_site_label
_atom_site_type_symbol
_atom_site_fract_x
_atom_site_fract_y
_atom_site_fract_z
_atom_site_occupancy
Pm1 Pm 0.052 0.250 0.191 1
Mg1 Mg 0.183 0.250 0.632 1
Ni1 Ni 0.139 0.750 0.449 1
```

Results
**Distance to the lowest polymorph of the same formula**: 92 meV per atom
**Energy of formation from the pure elements**: -0.1879 eV/atom
**V**: 258.04 Å³ per cell
**Crystal system**: orthorhombic

2.
Crystalline PmPrMgNi at its relaxed geometry. Source: Alexandria via LeMat-Bulk, functional PBE.

Geometry as CIF:
```
data_PmPrMgNi
_symmetry_space_group_name_H-M 'F -4 3 m'
_symmetry_Int_Tables_number 216
_symmetry_space_group_name_Hall 'F -4 2 3'
_cell_length_a 7.389
_cell_length_b 7.389
_cell_length_c 7.389
_cell_angle_alpha 90.00
_cell_angle_beta 90.00
_cell_angle_gamma 90.00
loop_
_atom_site_label
_atom_site_type_symbol
_atom_site_fract_x
_atom_site_fract_y
_atom_site_fract_z
_atom_site_occupancy
Pm1 Pm 0.000 0.000 0.000 1
Pr1 Pr 0.000 0.000 0.500 1
Mg1 Mg 0.250 0.250 0.750 1
Ni1 Ni 0.250 0.250 0.250 1
```

Results
**Energy of formation from the pure elements**: -0.0341 eV/atom
**V**: 403.35 Å³ per cell
**Crystal system**: cubic

3.
Crystalline Pm2MgNi4Sb3 at its relaxed geometry. Source: Alexandria via LeMat-Bulk, functional PBE.

Geometry as CIF:
```
data_Pm2MgNi4Sb3
_symmetry_space_group_name_H-M 'P -4 m 2'
_symmetry_Int_Tables_number 115
_cell_length_a 4.318
_cell_length_b 4.318
_cell_length_c 10.409
_cell_angle_alpha 90.00
_cell_angle_beta 90.00
_cell_angle_gamma 90.00
loop_
_symmetry_equiv_pos_as_xyz
'x,y,z'
'y,-x,-z'
'-x,-y,z'
'-y,x,-z'
'-x,y,z'
'-y,-x,-z'
'x,-y,z'
'y,x,-z'
loop_
_atom_site_label
_atom_site_type_symbol
_atom_site_fract_x
_atom_site_fract_y
_atom_site_fract_z
_atom_site_occupancy
Pm1 Pm 0.000 0.500 0.238 1
Mg1 Mg 0.000 0.000 0.500 1
Ni1 Ni 0.000 0.000 0.000 1
Ni2 Ni 0.000 0.500 0.633 1
Ni3 Ni 0.500 0.500 0.000 1
Sb1 Sb 0.000 0.500 0.869 1
Sb2 Sb 0.500 0.500 0.500 1
```

Results
**Energy relative to the elements, uncorrected**: -0.628 eV/atom
**V**: 194.10 Å³ per cell
**Crystal system**: tetragonal

4.
Crystalline PmMgSi2Ni2 at its relaxed geometry. Source: Alexandria via LeMat-Bulk, functional PBE.

Geometry as CIF:
```
data_PmMgSi2Ni2
_symmetry_space_group_name_H-M 'P -3 m 1'
_symmetry_Int_Tables_number 164
_symmetry_space_group_name_Hall '-P 3 2"'
_cell_length_a 4.0872
_cell_length_b 4.0872
_cell_length_c 6.8120
_cell_angle_alpha 90.00
_cell_angle_beta 90.00
_cell_angle_gamma 120.00
loop_
_atom_site_label
_atom_site_type_symbol
_atom_site_fract_x
_atom_site_fract_y
_atom_site_fract_z
_atom_site_occupancy
Pm1 Pm 0.0000 0.0000 0.0000 1
Mg1 Mg 0.0000 0.0000 0.5000 1
Si1 Si 0.3333 0.6667 0.2910 1
Ni1 Ni 0.3333 0.6667 0.6645 1
```

Results
**Energy relative to the elements, uncorrected**: -0.633 eV/atom
**V**: 98.55 Å³ per cell
**Crystal system**: trigonal